1.
The following is a DFT calculation (PBE) of a relaxed Y6TlS3 crystal. Values from VASP.

The structure in Quantum ESPRESSO input format:
```
&SYSTEM
  ibrav = 0, nat = 20, ntyp = 3
/
ATOMIC_SPECIES
Y 88.91 Y.upf
Tl 204.38 Tl.upf
S 32.06 S.upf
CELL_PARAMETERS angstrom
11.4074 0.0000 0.0000
0.0000 3.8007 0.0000
-2.8681 0.0000 11.7931
ATOMIC_POSITIONS crystal
Y 0.0266 0.2500 0.1393
Y 0.1255 0.7500 0.4523
Y 0.2012 0.2500 0.7485
Y 0.3177 0.2500 0.2773
Y 0.3191 0.7500 0.0287
Y 0.4168 0.2500 0.5944
Y 0.5832 0.7500 0.4056
Y 0.6809 0.2500 0.9713
Y 0.6823 0.7500 0.7227
Y 0.7988 0.7500 0.2515
Y 0.8745 0.2500 0.5477
Y 0.9734 0.7500 0.8607
Tl 0.4511 0.7500 0.8235
Tl 0.5489 0.2500 0.1765
S 0.0378 0.7500 0.6492
S 0.1389 0.2500 0.9542
S 0.3568 0.7500 0.4361
S 0.6432 0.2500 0.5639
S 0.8611 0.7500 0.0458
S 0.9622 0.2500 0.3508
```

Summary:
Total moment ... 0.00 μB/atom
Uncorrected formation energy ... -1.230 eV per atom
SG ... P2_1/m

2.
The following is a DFT calculation (PBE) of a relaxed CaMoRu2 crystal. Values from VASP.

The structure in Quantum ESPRESSO input format:
```
&SYSTEM
  ibrav = 0, nat = 4, ntyp = 3
/
ATOMIC_SPECIES
Ca 40.08 Ca.upf
Mo 95.94 Mo.upf
Ru 101.07 Ru.upf
CELL_PARAMETERS angstrom
0.0000 3.1988 3.1988
3.1988 0.0000 3.1988
3.1988 3.1988 0.0000
ATOMIC_POSITIONS crystal
Ca 0.0000 0.0000 0.0000
Mo 0.2500 0.2500 0.2500
Ru 0.5000 0.5000 0.5000
Ru 0.7500 0.7500 0.7500
```

Summary:
Total moment ... 0.12 μB/atom
Excess energy over the best structure of this formula in the dataset ... 475.4 meV per atom
SG ... F-43m

3.
The following is a DFT calculation (PBE) of a relaxed TaCrSi2I crystal. Values from VASP.

The structure in Quantum ESPRESSO input format:
```
&SYSTEM
  ibrav = 0, nat = 5, ntyp = 4
/
ATOMIC_SPECIES
Ta 180.95 Ta.upf
Cr 52.00 Cr.upf
Si 28.09 Si.upf
I 126.90 I.upf
CELL_PARAMETERS angstrom
5.1084 0.0000 0.0000
0.0000 5.1084 0.0000
0.0000 0.0000 4.7663
ATOMIC_POSITIONS crystal
Ta 0.0000 0.0000 0.0000
Cr 0.5000 0.5000 0.0000
Si 0.0000 0.5000 0.5000
Si 0.5000 0.0000 0.5000
I 0.5000 0.5000 0.5000
```

Summary:
Total moment ... 0.47 μB/atom
Uncorrected formation energy ... 2.130 eV per atom
SG ... P4/mmm

4.
The following is a DFT calculation (PBE) of a relaxed La6TePt2I3 crystal. Values from VASP.

The structure in Quantum ESPRESSO input format:
```
&SYSTEM
  ibrav = 0, nat = 12, ntyp = 4
/
ATOMIC_SPECIES
La 138.91 La.upf
Te 127.60 Te.upf
Pt 195.08 Pt.upf
I 126.90 I.upf
CELL_PARAMETERS angstrom
3.8899 -6.7051 0.0000
3.8899 6.7051 0.0000
-2.6056 0.0000 7.8737
ATOMIC_POSITIONS crystal
La 0.0684 0.4319 0.7993
La 0.2030 0.2030 0.1973
La 0.4319 0.0684 0.7993
La 0.5681 0.9316 0.2007
La 0.7970 0.7970 0.8027
La 0.9316 0.5681 0.2007
Te 0.5000 0.5000 0.0000
Pt 0.1676 0.8324 0.0000
Pt 0.8324 0.1676 0.0000
I 0.0000 0.0000 0.5000
I 0.3444 0.6556 0.5000
I 0.6556 0.3444 0.5000
```

Summary:
Total moment ... 0.00 μB/atom
Uncorrected formation energy ... -1.235 eV per atom
SG ... C2/m

5.
The following is a DFT calculation (PBE) of a relaxed CaSmZnHg crystal. Values from VASP.

The structure in Quantum ESPRESSO input format:
```
&SYSTEM
  ibrav = 0, nat = 4, ntyp = 4
/
ATOMIC_SPECIES
Ca 40.08 Ca.upf
Sm 150.36 Sm.upf
Zn 65.41 Zn.upf
Hg 200.59 Hg.upf
CELL_PARAMETERS angstrom
0.0000 3.7220 3.7220
3.7220 0.0000 3.7220
3.7220 3.7220 0.0000
ATOMIC_POSITIONS crystal
Ca 0.0000 0.0000 0.0000
Sm 0.5000 0.5000 0.5000
Zn 0.7500 0.7500 0.7500
Hg 0.2500 0.2500 0.2500
```

Summary:
Total moment ... 0.00 μB/atom
Excess energy over the best structure of this formula in the dataset ... 0.0 meV per atom
SG ... F-43m

6.
The following is a DFT calculation (PBE) of a relaxed TaMn2In crystal. Values from VASP.

The structure in Quantum ESPRESSO input format:
```
&SYSTEM
  ibrav = 0, nat = 4, ntyp = 3
/
ATOMIC_SPECIES
Ta 180.95 Ta.upf
Mn 54.94 Mn.upf
In 114.82 In.upf
CELL_PARAMETERS angstrom
0.0000 3.1943 3.1943
3.1943 0.0000 3.1943
3.1943 3.1943 0.0000
ATOMIC_POSITIONS crystal
Ta 0.0000 0.0000 0.0000
Mn 0.2500 0.2500 0.2500
Mn 0.5000 0.5000 0.5000
In 0.7500 0.7500 0.7500
```

Summary:
DFT total energy ... -31.5 eV per formula unit
Total moment ... 1.21 μB/atom
SG ... F-43m